Version one
Computed, not measured: a geometry-optimized ZrTiMo3 structure at the PBE level of DFT.

Volume in Å³ per atom: 21.6

Cell: 4.764 4.764 4.764 Å, 90.00 90.00 90.00°
Space group Pm-3m (No. 221)
One atom of each set of equivalent atoms:
1 Zr 0.000 0.000 0.000 [1 per cell]
2 Ti 0.500 0.500 0.500 [1 per cell]
3 Mo 0.000 0.000 0.500 [3 per cell]

=====

Version two
Computed, not measured: a geometry-optimized ZrTiMo3 structure at the PBE level of DFT.

Volume in Å³ per atom: 19.5

Cell: 4.602 4.602 4.602 Å, 90.00 90.00 90.00°
Space group Pm-3m (No. 221)
One atom of each set of equivalent atoms:
1 Zr 0.000 0.000 0.000 [1 per cell]
2 Ti 0.500 0.500 0.500 [1 per cell]
3 Mo 0.000 0.500 0.500 [3 per cell]

=====

Most stable structure among those shown: version two.